Run i
{"formula": "Ga3SbN", "functional": "GGA-PBE", "state": "relaxed", "space_group": "Pm-3m", "lattice": [[-2.667, 1.772, -3.120], [-2.289, -3.834, -0.221], [-2.763, 1.466, 3.194]], "species": ["Sb", "Ga", "Ga", "Ga", "N"], "fractional_positions": [[0.500, 0.500, 0.500], [0.000, 0.500, 0.000], [0.000, 0.000, 0.500], [0.500, 0.000, 0.000], [0.000, 0.000, 0.000]]}


Run ii
{"formula": "Ga3SbN", "functional": "GGA-PBE", "state": "relaxed", "space_group": "Pm-3m", "lattice": [[5.330, 0.000, 0.000], [0.000, 5.330, 0.000], [0.000, 0.000, 5.330]], "species": ["Sb", "Ga", "Ga", "Ga", "N"], "fractional_positions": [[0.000, 0.000, 0.000], [0.000, 0.500, 0.000], [0.000, 0.000, 0.500], [0.500, 0.000, 0.000], [0.500, 0.500, 0.500]]}


Stability comparison, relative energies in meV per atom: run i 0; run ii 1320


Run i
{"formula": "GaSbSe2N", "functional": "GGA-PBE", "state": "relaxed", "space_group": "P4/mmm", "lattice": [[-0.581, 2.451, 4.771], [-2.791, -4.236, 1.836], [3.421, -1.696, 1.288]], "species": ["Sb", "Ga", "Se", "Se", "N"], "fractional_positions": [[0.000, 0.000, 0.000], [0.500, 0.500, 0.500], [0.000, 0.500, 0.000], [0.500, 0.000, 0.000], [0.000, 0.000, 0.500]]}


Run ii
{"formula": "GaSbSe2N", "functional": "GGA-PBE", "state": "relaxed", "space_group": "P4/mmm", "lattice": [[5.195, 0.000, 0.000], [0.000, 5.195, 0.000], [0.000, 0.000, 3.744]], "species": ["Sb", "Ga", "Se", "Se", "N"], "fractional_positions": [[0.500, 0.500, 0.500], [0.000, 0.000, 0.000], [0.000, 0.500, 0.000], [0.500, 0.000, 0.000], [0.000, 0.000, 0.500]]}


Stability comparison, relative energies in meV per atom: run i 163; run ii 0


Run i
{"formula": "GaSb2TeN", "functional": "GGA-PBE", "state": "relaxed", "space_group": "P4/mmm", "lattice": [[5.332, 0.000, 0.000], [0.000, 5.492, 0.000], [0.000, 0.000, 5.332]], "species": ["Sb", "Sb", "Te", "Ga", "N"], "fractional_positions": [[0.000, 0.000, 0.500], [0.500, 0.000, 0.000], [0.000, 0.500, 0.000], [0.000, 0.000, 0.000], [0.500, 0.500, 0.500]]}


Run ii
{"formula": "GaSb2TeN", "functional": "GGA-PBE", "state": "relaxed", "space_group": "P4/mmm", "lattice": [[4.752, 0.000, 0.000], [0.000, 4.752, 0.000], [0.000, 0.000, 4.995]], "species": ["Sb", "Sb", "Te", "Ga", "N"], "fractional_positions": [[0.000, 0.500, 0.000], [0.500, 0.000, 0.000], [0.000, 0.000, 0.500], [0.500, 0.500, 0.500], [0.000, 0.000, 0.000]]}


Stability comparison, relative energies in meV per atom: run i 879; run ii 0


Run i
{"formula": "GaSbTe2N", "functional": "GGA-PBE", "state": "relaxed", "space_group": "P4/mmm", "lattice": [[5.796, 0.000, 0.000], [0.000, 5.796, 0.000], [0.000, 0.000, 3.568]], "species": ["Sb", "Te", "Te", "Ga", "N"], "fractional_positions": [[0.500, 0.500, 0.500], [0.000, 0.500, 0.000], [0.500, 0.000, 0.000], [0.000, 0.000, 0.000], [0.000, 0.000, 0.500]]}


Run ii
{"formula": "GaSbTe2N", "functional": "GGA-PBE", "state": "relaxed", "space_group": "P4/mmm", "lattice": [[-0.264, -3.938, 2.698], [4.553, -1.019, -1.042], [1.471, 2.576, 3.905]], "species": ["Sb", "Te", "Te", "Ga", "N"], "fractional_positions": [[0.000, 0.000, 0.500], [0.000, 0.500, 0.000], [0.500, 0.000, 0.000], [0.500, 0.500, 0.500], [0.000, 0.000, 0.000]]}


Run iii
{"formula": "GaSbTe2N", "functional": "GGA-PBE", "state": "relaxed", "space_group": "P4/mmm", "lattice": [[5.991, 0.000, 0.000], [0.000, 5.991, 0.000], [0.000, 0.000, 3.893]], "species": ["Sb", "Te", "Te", "Ga", "N"], "fractional_positions": [[0.000, 0.000, 0.000], [0.000, 0.500, 0.000], [0.500, 0.000, 0.000], [0.500, 0.500, 0.500], [0.000, 0.000, 0.500]]}


Stability comparison, relative energies in meV per atom: run i 0; run ii 42; run iii 149


Run i
{"formula": "ScGa3N", "functional": "GGA-PBE", "state": "relaxed", "space_group": "Pm-3m", "lattice": [[5.207, 0.000, 0.000], [0.000, 5.207, 0.000], [0.000, 0.000, 5.207]], "species": ["Sc", "Ga", "Ga", "Ga", "N"], "fractional_positions": [[0.000, 0.000, 0.000], [0.000, 0.500, 0.000], [0.000, 0.000, 0.500], [0.500, 0.000, 0.000], [0.500, 0.500, 0.500]]}


Run ii
{"formula": "ScGa3N", "functional": "GGA-PBE", "state": "relaxed", "space_group": "Pm-3m", "lattice": [[-2.504, -1.326, -3.326], [3.520, -1.653, -1.991], [-0.654, -3.820, 2.016]], "species": ["Sc", "Ga", "Ga", "Ga", "N"], "fractional_positions": [[0.500, 0.500, 0.500], [0.000, 0.500, 0.000], [0.000, 0.000, 0.500], [0.500, 0.000, 0.000], [0.000, 0.000, 0.000]]}


Stability comparison, relative energies in meV per atom: run i 1411; run ii 0


Run i
{"formula": "Sc6Ga2N", "functional": "GGA-PBE", "state": "relaxed", "space_group": "Amm2", "lattice": [[3.253, 0.000, 0.000], [0.000, 8.160, 0.000], [0.000, -4.080, 6.758]], "species": ["Sc", "Sc", "Sc", "Sc", "Sc", "Sc", "Ga", "Ga", "N"], "fractional_positions": [[0.500, 0.600, 0.000], [0.500, 0.432, 0.413], [0.500, 0.019, 0.587], [0.000, 0.269, 0.000], [0.000, 0.788, 0.782], [0.000, 0.006, 0.218], [0.000, 0.344, 0.661], [0.000, 0.683, 0.339], [0.500, 0.859, 0.000]]}


Run ii
{"formula": "Sc6Ga2N", "functional": "GGA-PBE", "state": "relaxed", "space_group": "Fm-3m", "lattice": [[-4.259, -4.544, 0.036], [-0.035, -4.199, 4.600], [-4.572, 0.051, 4.228]], "species": ["Sc", "Sc", "Sc", "Sc", "Sc", "Sc", "Ga", "Ga", "N"], "fractional_positions": [[0.746, 0.254, 0.254], [0.254, 0.254, 0.746], [0.746, 0.746, 0.254], [0.254, 0.746, 0.254], [0.746, 0.254, 0.746], [0.254, 0.746, 0.746], [0.250, 0.250, 0.250], [0.750, 0.750, 0.750], [0.500, 0.500, 0.500]]}


Stability comparison, relative energies in meV per atom: run i 185; run ii 0


Run i
{"formula": "ScGaSeN2", "functional": "GGA-PBE", "state": "relaxed", "space_group": "P4/mmm", "lattice": [[3.847, 0.000, 0.000], [0.000, 3.847, 0.000], [0.000, 0.000, 5.300]], "species": ["Sc", "Ga", "Se", "N", "N"], "fractional_positions": [[0.500, 0.500, 0.500], [0.000, 0.000, 0.000], [0.000, 0.000, 0.500], [0.000, 0.500, 0.000], [0.500, 0.000, 0.000]]}


Run ii
{"formula": "ScGaSeN2", "functional": "GGA-PBE", "state": "relaxed", "space_group": "P4/mmm", "lattice": [[-3.233, -0.119, -2.462], [1.426, -3.402, -1.708], [-2.807, -3.102, 3.835]], "species": ["Sc", "Ga", "Se", "N", "N"], "fractional_positions": [[0.000, 0.000, 0.000], [0.500, 0.500, 0.500], [0.000, 0.000, 0.500], [0.000, 0.500, 0.000], [0.500, 0.000, 0.000]]}


Stability comparison, relative energies in meV per atom: run i 0; run ii 104


Run i
{"formula": "GaSe3N", "functional": "GGA-PBE", "state": "relaxed", "space_group": "Pm-3m", "lattice": [[-1.536, -4.476, -1.710], [2.743, 0.651, -4.167], [3.928, -2.205, 2.242]], "species": ["Ga", "Se", "Se", "Se", "N"], "fractional_positions": [[0.000, 0.000, 0.000], [0.000, 0.500, 0.000], [0.000, 0.000, 0.500], [0.500, 0.000, 0.000], [0.500, 0.500, 0.500]]}


Run ii
{"formula": "GaSe3N", "functional": "GGA-PBE", "state": "relaxed", "space_group": "Pm-3m", "lattice": [[-2.328, 3.822, -0.238], [-3.210, -2.100, -2.319], [-2.089, -1.034, 3.828]], "species": ["Se", "Se", "Se", "Ga", "N"], "fractional_positions": [[0.000, 0.500, 0.000], [0.000, 0.000, 0.500], [0.500, 0.000, 0.000], [0.500, 0.500, 0.500], [0.000, 0.000, 0.000]]}


Stability comparison, relative energies in meV per atom: run i 585; run ii 0


Run i
{"formula": "GaSe2N", "functional": "GGA-PBE", "state": "relaxed", "space_group": "Fm-3m", "lattice": [[0.000, 3.195, 3.195], [3.195, 0.000, 3.195], [3.195, 3.195, 0.000]], "species": ["Ga", "Se", "Se", "N"], "fractional_positions": [[0.500, 0.500, 0.500], [0.250, 0.250, 0.250], [0.750, 0.750, 0.750], [0.000, 0.000, 0.000]]}


Run ii
{"formula": "GaSe2N", "functional": "GGA-PBE", "state": "relaxed", "space_group": "R-3m", "lattice": [[1.787, 0.000, 8.645], [-0.893, 1.548, 8.645], [-0.893, -1.548, 8.645]], "species": ["Ga", "Se", "Se", "N"], "fractional_positions": [[0.000, 0.000, 0.000], [0.890, 0.890, 0.890], [0.110, 0.110, 0.110], [0.500, 0.500, 0.500]]}


Stability comparison, relative energies in meV per atom: run i 259; run ii 0


Run i
{"formula": "GaSe2N", "functional": "GGA-PBE", "state": "relaxed", "space_group": "I-42d", "lattice": [[5.208, 0.000, 0.000], [0.000, 5.208, 0.000], [2.604, 2.604, 6.093]], "species": ["Ga", "Ga", "Se", "Se", "Se", "Se", "N", "N"], "fractional_positions": [[0.000, 0.000, 0.000], [0.750, 0.250, 0.500], [0.541, 0.125, 0.250], [0.209, 0.625, 0.250], [0.375, 0.459, 0.750], [0.875, 0.791, 0.750], [0.500, 0.500, 0.000], [0.250, 0.750, 0.500]]}


Run ii
{"formula": "GaSe2N", "functional": "GGA-PBE", "state": "relaxed", "space_group": "R-3m", "lattice": [[1.919, -5.846, 2.793], [4.085, -5.323, -0.794], [5.262, -3.267, 2.702]], "species": ["Ga", "Se", "Se", "N"], "fractional_positions": [[0.500, 0.500, 0.500], [0.908, 0.908, 0.908], [0.092, 0.092, 0.092], [0.000, 0.000, 0.000]]}


Stability comparison, relative energies in meV per atom: run i 37; run ii 0


Run i
{"formula": "GaSe2N2", "functional": "GGA-PBE", "state": "relaxed", "space_group": "P4/mmm", "lattice": [[-0.419, -3.709, -0.162], [2.043, -0.094, -3.127], [6.155, -0.873, 4.048]], "species": ["Ga", "Se", "Se", "N", "N"], "fractional_positions": [[0.500, 0.500, 0.500], [0.000, 0.000, 0.000], [0.000, 0.000, 0.500], [0.000, 0.500, 0.000], [0.500, 0.000, 0.000]]}


Run ii
{"formula": "GaSe2N2", "functional": "GGA-PBE", "state": "relaxed", "space_group": "P4/mmm", "lattice": [[3.769, 0.000, 0.000], [0.000, 3.769, 0.000], [0.000, 0.000, 7.533]], "species": ["Ga", "Se", "Se", "N", "N"], "fractional_positions": [[0.000, 0.000, 0.000], [0.500, 0.500, 0.500], [0.000, 0.000, 0.500], [0.000, 0.500, 0.000], [0.500, 0.000, 0.000]]}


Run iii
{"formula": "GaSe2N2", "functional": "GGA-PBE", "state": "relaxed", "space_group": "P4/mmm", "lattice": [[5.224, 0.000, 0.000], [0.000, 5.224, 0.000], [0.000, 0.000, 3.647]], "species": ["Ga", "Se", "Se", "N", "N"], "fractional_positions": [[0.000, 0.000, 0.000], [0.000, 0.500, 0.000], [0.500, 0.000, 0.000], [0.500, 0.500, 0.500], [0.000, 0.000, 0.500]]}


Stability comparison, relative energies in meV per atom: run i 52; run ii 0; run iii 577


Run i
{"formula": "GaSiSeN2", "functional": "GGA-PBE", "state": "relaxed", "space_group": "P4/mmm", "lattice": [[3.513, 0.000, 0.000], [0.000, 3.513, 0.000], [0.000, 0.000, 6.280]], "species": ["Si", "Ga", "Se", "N", "N"], "fractional_positions": [[0.000, 0.000, 0.000], [0.500, 0.500, 0.500], [0.000, 0.000, 0.500], [0.000, 0.500, 0.000], [0.500, 0.000, 0.000]]}


Run ii
{"formula": "GaSiSeN2", "functional": "GGA-PBE", "state": "relaxed", "space_group": "P4/mmm", "lattice": [[-1.814, 2.167, -2.578], [-1.203, -3.152, -1.803], [-4.624, -0.065, 3.199]], "species": ["Si", "Ga", "Se", "N", "N"], "fractional_positions": [[0.500, 0.500, 0.500], [0.000, 0.000, 0.000], [0.000, 0.000, 0.500], [0.000, 0.500, 0.000], [0.500, 0.000, 0.000]]}


Stability comparison, relative energies in meV per atom: run i 0; run ii 895


Run i
{"formula": "GaSnSeN2", "functional": "GGA-PBE", "state": "relaxed", "space_group": "P4/mmm", "lattice": [[4.120, 0.000, 0.000], [0.000, 4.120, 0.000], [0.000, 0.000, 5.770]], "species": ["Ga", "Sn", "Se", "N", "N"], "fractional_positions": [[0.500, 0.500, 0.500], [0.000, 0.000, 0.000], [0.000, 0.000, 0.500], [0.000, 0.500, 0.000], [0.500, 0.000, 0.000]]}


Run ii
{"formula": "GaSnSeN2", "functional": "GGA-PBE", "state": "relaxed", "space_group": "P4/mmm", "lattice": [[-2.436, -1.062, -3.070], [-2.265, -2.196, 2.557], [-3.062, 4.267, 0.953]], "species": ["Ga", "Sn", "Se", "N", "N"], "fractional_positions": [[0.000, 0.000, 0.000], [0.500, 0.500, 0.500], [0.000, 0.000, 0.500], [0.000, 0.500, 0.000], [0.500, 0.000, 0.000]]}


Stability comparison, relative energies in meV per atom: run i 109; run ii 0